No. 1
5
Lattice="-2.234 1.524 4.155 -4.425 -0.777 -2.095 0.007 -4.653 1.710" Properties=species:S:1:pos:R:3 comment="NaSi3S, relaxed, DFT GGA-PBE" e_tot_ev_per_fu=-13.430 rho_g_cm3=1.90 raw_formation_energy_ev_per_atom=1.66 magmom_total_mub_per_fu=0.000 pbc="T T T"
Si -1.117 0.762 2.077
Na 0.000 0.000 0.000
Si -2.213 -0.388 -1.047
Si 0.003 -2.326 0.855
S -3.326 -1.953 1.885

***

No. 2
6
Lattice="-1.112 -5.068 1.082 1.790 0.663 4.944 -6.445 1.860 2.084" Properties=species:S:1:pos:R:3 comment="AlTlTe, relaxed, DFT GGA-PBE" e_tot_ev_per_fu=-9.181 rho_g_cm3=6.04 raw_formation_energy_ev_per_atom=0.02 magmom_total_mub_per_fu=0.000 pbc="T T T"
Tl -4.339 1.842 4.165
Al -2.884 -1.272 4.055
Al -3.223 0.930 1.042
Tl -1.768 -2.184 0.933
Te -4.863 -1.291 1.934
Te -1.243 0.949 3.164

***

No. 3
8
Lattice="1.026 4.353 -0.280 -3.712 -1.558 -1.969 -3.554 1.208 5.746" Properties=species:S:1:pos:R:3 comment="BeAg, relaxed, DFT GGA-PBE" ef_ev_per_fu=1.1 e_tot_ev_per_fu=-5.516 rho_g_cm3=6.50 magmom_total_mub_per_fu=0.000 pbc="T T T"
Be -3.776 3.478 4.368
Ag -4.798 1.318 2.904
Ag -1.442 2.685 0.593
Be -2.463 0.525 -0.871
Be -2.661 3.099 2.565
Ag -2.666 0.906 4.309
Ag -0.889 0.302 1.436
Be -3.579 0.904 0.933

***

No. 4
11
Lattice="6.517 0.147 0.191 -1.034 7.524 0.052 -1.034 -1.901 7.280" Properties=species:S:1:pos:R:3 comment="Mn2In2Cl7, relaxed, DFT GGA-PBE" e_tot_ev_per_fu=-47.059 rho_g_cm3=2.71 raw_formation_energy_ev_per_atom=-0.94 magmom_total_mub_per_fu=8.976 pbc="T T T"
Cl 0.246 5.780 4.371
In 2.224 4.737 2.341
Cl 0.246 2.723 6.716
Cl 4.203 3.047 0.808
Cl 0.738 2.233 2.911
Cl 4.203 -0.010 3.152
In 2.224 1.032 5.182
Cl 3.710 3.537 4.612
Cl 0.000 0.000 0.000
Mn -1.041 4.319 5.632
Mn 5.489 1.451 1.891

***

No. 5
54
Lattice="-0.662 1.950 8.257 4.892 -9.224 2.570 5.815 8.896 -1.635" Properties=species:S:1:pos:R:3 comment="Zr3Cd3AgF20, relaxed, DFT GGA-PBE" e_tot_ev_per_fu=-147.557 rho_g_cm3=4.28 raw_formation_energy_ev_per_atom=-2.92 magmom_total_mub_per_fu=0.001 pbc="T T T"
Zr 5.333 -4.020 7.955
F 0.000 0.000 0.000
Ag -0.496 1.462 6.193
F 3.949 -6.590 4.065
F 7.851 0.748 2.645
Zr 6.438 -0.003 7.095
F 4.543 -0.197 2.603
F 4.571 6.017 3.226
F 6.209 0.400 9.069
F 9.014 -1.605 3.294
F 4.886 5.088 -0.705
F 7.460 3.257 4.109
F -0.331 0.975 4.129
F 8.300 -0.856 7.446
F 2.585 -1.635 5.084
F 2.195 0.874 6.548
Zr 7.706 2.764 2.158
F 2.270 -0.707 9.015
F 6.524 -0.528 5.138
F 5.503 1.819 6.590
Cd 2.908 -2.059 2.912
F 1.745 2.478 1.747
F 3.935 3.690 1.637
F 5.159 -3.466 9.898
F 6.111 -2.068 7.556
F 6.375 4.366 1.673
F 6.991 6.024 5.716
Ag -0.165 0.487 2.064
F 3.670 -2.744 7.520
F 6.430 6.804 1.101
F 6.096 8.212 5.128
F 5.716 1.975 2.184
F 2.140 0.106 2.339
F 3.836 1.222 0.124
F 7.506 -3.491 3.619
F 2.540 5.113 5.574
F 4.330 -0.353 7.009
Cd 5.498 -4.824 3.772
Cd 7.138 3.681 6.281
F 5.034 -2.697 3.233
Cd 6.697 -1.207 3.014
F 5.011 4.319 5.960
Zr 3.608 1.625 2.098
F 3.521 2.150 4.055
Cd 4.547 6.446 5.421
F 3.055 -4.402 3.477
Zr 2.340 -1.142 7.035
Cd 3.348 2.829 6.179
F 1.031 3.227 5.899
F 7.905 1.516 6.854
F 3.616 -5.182 8.092
F 5.474 -4.395 5.967
F 7.775 2.329 0.178
Zr 4.712 5.642 1.238

***

No. 6
4
Lattice="2.897 0.026 0.000 0.017 2.898 0.000 0.000 0.000 5.127" Properties=species:S:1:pos:R:3 comment="Be3Au, relaxed, DFT GGA-PBE" ef_ev_per_fu=0.1 e_tot_ev_per_fu=-14.395 rho_g_cm3=8.64 magmom_total_mub_per_fu=0.000 pbc="T T T"
Be 1.457 1.462 3.674
Be 0.000 0.000 2.564
Be 1.457 1.462 1.453
Au 0.000 0.000 0.000

***

No. 7
6
Lattice="-1.809 0.030 4.525 -2.710 -2.427 3.243 8.226 -0.808 -4.231" Properties=species:S:1:pos:R:3 comment="Fe2Rh, relaxed, DFT GGA-PBE" ef_ev_per_fu=0.0 e_tot_ev_per_fu=-24.299 rho_g_cm3=9.21 magmom_total_mub_per_fu=6.299 pbc="T T T"
Fe 5.729 -0.937 -2.229
Rh -2.744 -1.968 5.700
Fe 3.357 -3.036 3.460
Fe 3.687 -1.250 -0.196
Rh -0.585 -1.808 3.875
Fe 1.539 -1.547 1.883

***

No. 8
5
Lattice="-3.969 -3.665 0.397 2.368 -2.982 -3.853 2.825 -2.649 3.787" Properties=species:S:1:pos:R:3 comment="Pm3HoCl, relaxed, DFT GGA-PBE" e_tot_ev_per_fu=-23.114 rho_g_cm3=6.64 raw_formation_energy_ev_per_atom=-0.49 magmom_total_mub_per_fu=0.000 pbc="T T T"
Pm 1.184 -1.491 -1.926
Ho 0.612 -4.648 0.166
Cl 0.000 0.000 0.000
Pm -1.985 -1.832 0.199
Pm 1.413 -1.325 1.894

***

No. 9
5
Lattice="5.012 0.000 0.000 0.000 5.012 0.000 0.000 0.000 5.012" Properties=species:S:1:pos:R:3 comment="MgZnAs2Se, relaxed, DFT GGA-PBE" e_tot_ev_per_fu=-12.633 rho_g_cm3=4.20 raw_formation_energy_ev_per_atom=0.60 magmom_total_mub_per_fu=0.000 pbc="T T T"
Mg 0.000 0.000 0.000
As 2.506 0.000 0.000
Se 0.000 0.000 2.506
Zn 2.506 2.506 2.506
As 0.000 2.506 0.000

***

No. 10
6
Lattice="5.843 0.000 0.000 2.922 5.060 0.000 2.922 1.687 4.771" Properties=species:S:1:pos:R:3 comment="PmCd4Ag, relaxed, DFT GGA-PBE" ef_ev_per_fu=-0.5 e_tot_ev_per_fu=-11.760 rho_g_cm3=8.27 magmom_total_mub_per_fu=0.000 pbc="T T T"
Cd 4.382 4.217 2.982
Pm 2.922 1.687 1.193
Ag 0.000 0.000 0.000
Cd 7.304 4.217 2.982
Cd 5.843 1.686 2.982
Cd 5.843 3.374 0.596

***

No. 11
10
Lattice="-3.438 2.604 1.684 -2.889 -3.603 -0.326 2.728 -3.130 10.411" Properties=species:S:1:pos:R:3 comment="Ac2Cd3Ga4Ag, relaxed, DFT GGA-PBE" ef_ev_per_fu=-3.7 e_tot_ev_per_fu=-29.636 rho_g_cm3=8.14 magmom_total_mub_per_fu=0.000 pbc="T T T"
Ga -0.002 -0.668 7.395
Ga -0.434 -2.961 3.695
Ac -1.034 0.516 3.455
Cd -1.081 -2.219 1.225
Cd 0.645 -1.411 9.865
Ga 0.000 0.000 0.000
Ag -1.800 -2.065 5.884
Ac 0.598 -4.146 7.635
Cd 1.364 -1.565 5.206
Ga -3.163 -0.499 0.679

***

No. 12
5
Lattice="-3.269 -1.984 -0.964 2.000 -1.938 -2.793 0.931 -2.804 2.613" Properties=species:S:1:pos:R:3 comment="SrFeB3, relaxed, DFT GGA-PBE" ef_ev_per_fu=1.5 e_tot_ev_per_fu=-28.677 rho_g_cm3=4.76 magmom_total_mub_per_fu=0.000 pbc="T T T"
B 1.000 -0.969 -1.396
Fe 0.000 0.000 0.000
Sr -0.169 -3.363 -0.572
B 0.466 -1.402 1.306
B -1.635 -0.992 -0.482

***

Please write out number 12 again, unchanged.
5
Lattice="-3.269 -1.984 -0.964 2.000 -1.938 -2.793 0.931 -2.804 2.613" Properties=species:S:1:pos:R:3 comment="SrFeB3, relaxed, DFT GGA-PBE" ef_ev_per_fu=1.5 e_tot_ev_per_fu=-28.677 rho_g_cm3=4.76 magmom_total_mub_per_fu=0.000 pbc="T T T"
B 1.000 -0.969 -1.396
Fe 0.000 0.000 0.000
Sr -0.169 -3.363 -0.572
B 0.466 -1.402 1.306
B -1.635 -0.992 -0.482